# Cs2NaFeO4 (GGA+U, optimized geometry)
# DOS(E_F)   0.26 states/eV/cell
# Uncorrected energy   -4.71 eV per atom
data_Cs2NaFeO4
_chemical_formula_sum 'Cs16 Na8 Fe8 O32'
_space_group_name_H-M_alt 'F d d d'
_space_group_IT_number 70
_cell_length_a 5.462
_cell_length_b 12.513
_cell_length_c 22.253
_cell_angle_alpha 90.00
_cell_angle_beta 90.00
_cell_angle_gamma 90.00
loop_
_space_group_symop_operation_xyz
'x,y,z'
'-x,-y,-z'
'-x+1/4,-y+1/4,z'
'x+1/4,y+1/4,-z'
'x,-y+1/4,-z+1/4'
'-x,y+1/4,z+1/4'
'-x+1/4,y,-z+1/4'
'x+1/4,-y,z+1/4'
'x,y+1/2,z+1/2'
'-x,-y+1/2,-z+1/2'
'-x+1/4,-y+3/4,z+1/2'
'x+1/4,y+3/4,-z+1/2'
'x,-y+3/4,-z+3/4'
'-x,y+3/4,z+3/4'
'-x+1/4,y+1/2,-z+3/4'
'x+1/4,-y+1/2,z+3/4'
'x+1/2,y,z+1/2'
'-x+1/2,-y,-z+1/2'
'-x+3/4,-y+1/4,z+1/2'
'x+3/4,y+1/4,-z+1/2'
'x+1/2,-y+1/4,-z+3/4'
'-x+1/2,y+1/4,z+3/4'
'-x+3/4,y,-z+3/4'
'x+3/4,-y,z+3/4'
'x+1/2,y+1/2,z'
'-x+1/2,-y+1/2,-z'
'-x+3/4,-y+3/4,z'
'x+3/4,y+3/4,-z'
'x+1/2,-y+3/4,-z+1/4'
'-x+1/2,y+3/4,z+1/4'
'-x+3/4,y+1/2,-z+1/4'
'x+3/4,-y+1/2,z+1/4'
loop_
_atom_site_label
_atom_site_type_symbol
_atom_site_fract_x
_atom_site_fract_y
_atom_site_fract_z
Cs1 Cs 0.125 0.125 0.304
Na1 Na 0.125 0.125 0.125
Fe1 Fe 0.125 0.125 0.625
O1 O 0.057 0.284 0.835